Cs3Na2Hg9: optimized geometry, PBE.

Output
The calculation puts the magnetization at 0.000 μB per atom. The value obtained for the electronic total energy is -0.809 eV per atom. The value obtained for the density of states at the Fermi level is 12.96 states/eV per cell. As for the crystal system: orthorhombic.

```
data_Cs3Na2Hg9
_chemical_formula_sum 'Cs6 Na4 Hg18'
_cell_length_a 5.347
_cell_length_b 11.576
_cell_length_c 16.033
_cell_angle_alpha 90.00
_cell_angle_beta 90.00
_cell_angle_gamma 90.00
_space_group_name_H-M_alt 'I m m m'
_space_group_IT_number 71
_space_group_name_Hall '-I 2 2'
loop_
_atom_site_label
_atom_site_fract_x
_atom_site_fract_y
_atom_site_fract_z
Cs1 0.000 0.000 0.000
Cs2 0.000 0.000 0.291
Na1 0.000 0.183 0.500
Hg1 0.000 0.287 0.128
Hg2 0.000 0.349 0.337
Hg3 0.000 0.500 0.000
```